1.
Here is an optimized crystal structure of In2RhPb from the Alexandria database. Energies are from GGA-PBE.

The structure in extended XYZ format:
```
4
Lattice="4.9055 -1.5884 0.0000 4.9055 1.5884 0.0000 -2.5660 0.0000 6.3974" Properties=species:S:1:pos:R:3 pbc="T T T"
In 0.0000 0.0000 0.0000
In 0.0145 0.0000 4.1502
Rh 2.6946 0.0000 4.1857
Pb 7.2993 0.0000 1.8226
```

DOS at the Fermi energy in states/eV/atom: 0.417
ΔH_f (0 K) in eV/atom: -0.1202
Mass density in g cm⁻³: 8.99


2.
Here is an optimized crystal structure of Cr2PRu from the Alexandria database. Energies are from GGA-PBE.

The structure in extended XYZ format:
```
4
Lattice="2.3470 -3.8415 0.0000 2.3470 3.8415 0.0000 0.0000 0.0000 2.7286" Properties=species:S:1:pos:R:3 pbc="T T T"
Cr 1.1735 1.9207 0.0000
Cr 1.1735 -1.9207 0.0000
P 0.0000 0.0000 1.3643
Ru 2.3470 0.0000 1.3643
```

DOS at the Fermi energy in states/eV/atom: 1.143
ΔH_f (0 K) in eV/atom: -0.0298
Mass density in g cm⁻³: 7.97


3.
Here is an optimized crystal structure of PmEr2Bi2 from the Alexandria database. Energies are from GGA-PBE.

The structure in extended XYZ format:
```
5
Lattice="3.5888 -3.1063 0.0000 3.5888 3.1063 0.0000 -2.2287 0.0000 7.2573" Properties=species:S:1:pos:R:3 pbc="T T T"
Pm 0.0000 0.0000 0.0000
Er 2.4744 1.5507 3.6287
Er 2.4744 -1.5507 3.6287
Bi 0.6808 0.0000 5.7180
Bi 4.2680 0.0000 1.5394
```

DOS at the Fermi energy in states/eV/atom: 0.849
ΔH_f (0 K) in eV/atom: -0.4283
Mass density in g cm⁻³: 9.21


4.
Here is an optimized crystal structure of BaPmSb from the Alexandria database. Energies are from GGA-PBE.

The structure in extended XYZ format:
```
6
Lattice="4.6225 0.0000 0.0000 -2.3113 4.0032 0.0000 0.0000 0.0000 14.7028" Properties=species:S:1:pos:R:3 pbc="T T T"
Ba 0.0000 0.0000 2.0644
Ba 0.0000 0.0000 12.6385
Pm 0.0000 2.6688 5.6256
Pm 0.0000 2.6688 9.0772
Sb 0.0000 0.0000 7.3514
Sb 0.0000 2.6688 0.0000
```

Formation energy (no corrections) in eV/f.u.: -1.30
DOS at the Fermi energy in states/eV/atom: 0.793
Excess energy over the best structure of this formula in the dataset in kJ/mol of atoms: 13.07
Mass density in g cm⁻³: 4.93


5.
Here is an optimized crystal structure of NiBTeN2 from the Alexandria database. Energies are from GGA-PBE.

The structure in extended XYZ format:
```
5
Lattice="3.2920 0.0000 0.0000 0.0000 3.2920 0.0000 0.0000 0.0000 7.1970" Properties=species:S:1:pos:R:3 pbc="T T T"
Ni 0.0000 0.0000 0.0000
B 1.6460 1.6460 3.5985
Te 1.6460 1.6460 0.0000
N 0.0000 1.6460 3.5985
N 1.6460 0.0000 3.5985
```

Formation energy (no corrections) in eV/f.u.: 6.42
DOS at the Fermi energy in states/eV/atom: 0.728
Excess energy over the best structure of this formula in the dataset in kJ/mol of atoms: 0.00
Mass density in g cm⁻³: 4.79


6.
Here is an optimized crystal structure of Al3Si5P8 from the Alexandria database. Energies are from GGA-PBE.

The structure in extended XYZ format:
```
16
Lattice="6.3047 0.0000 0.0000 0.0000 6.3047 0.0000 0.0000 0.0000 6.3047" Properties=species:S:1:pos:R:3 pbc="T T T"
Al 0.0000 0.0000 3.1523
Al 0.0000 3.1523 0.0000
Al 3.1523 0.0000 0.0000
Si 1.7954 1.7954 1.7954
Si 1.7954 4.5092 4.5092
Si 3.1523 3.1523 3.1523
Si 4.5092 1.7954 4.5092
Si 4.5092 4.5092 1.7954
P 0.0000 0.0000 0.0000
P 0.0000 3.1523 3.1523
P 1.2905 1.2905 5.0142
P 1.2905 5.0142 1.2905
P 3.1523 0.0000 3.1523
P 3.1523 3.1523 0.0000
P 5.0142 1.2905 1.2905
P 5.0142 5.0142 5.0142
```

Formation energy (no corrections) in eV/f.u.: 6.42
DOS at the Fermi energy in states/eV/atom: 0.539
Mass density in g cm⁻³: 3.11


7.
Here is an optimized crystal structure of HF from the Alexandria database. Energies are from GGA-PBE.

The structure in extended XYZ format:
```
8
Lattice="-2.6755 2.6755 2.6755 2.6755 -2.6755 2.6755 2.6755 2.6755 -2.6755" Properties=species:S:1:pos:R:3 pbc="T T T"
H 1.5362 1.5362 -1.5362
H 1.5362 -1.5362 1.5362
H 1.1392 1.1392 1.1392
H -1.5362 1.5362 1.5362
F 0.9856 0.9856 -0.9856
F 0.9856 -0.9856 0.9856
F -0.9856 0.9856 0.9856
F 1.6898 1.6898 1.6898
```

DOS at the Fermi energy in states/eV/atom: 0.000
Excess energy over the best structure of this formula in the dataset in kJ/mol of atoms: 7.23
Mass density in g cm⁻³: 1.73


8.
Here is an optimized crystal structure of Sb2MoRh from the Alexandria database. Energies are from GGA-PBE.

The structure in extended XYZ format:
```
4
Lattice="4.5413 0.0000 0.0000 0.0000 3.2519 0.0000 -2.2604 0.0000 5.0918" Properties=species:S:1:pos:R:3 pbc="T T T"
Sb 0.0000 0.0000 0.0000
Sb 1.1405 1.6260 2.5459
Mo -1.1302 0.0000 2.5459
Rh 2.2707 1.6260 0.0000
```

Formation energy (no corrections) in eV/f.u.: 0.28
DOS at the Fermi energy in states/eV/atom: 0.812
Mass density in g cm⁻³: 9.77